BeTePt | PBE | relaxed

Geometry as POSCAR:
```
BeTePt
1.0
3.185 0.000 0.000
1.592 3.933 0.000
1.568 0.585 9.213
Be Te Pt
2 2 2
direct
0.160 0.217 0.462
0.840 0.783 0.538
0.290 0.234 0.181
0.710 0.766 0.819
0.477 0.677 0.366
0.523 0.323 0.634
```

Computed properties:
energy relative to the elements, uncorrected = -0.44 eV/atom
SG = No. 2
crystal system = triclinic
volume = 19.2 Å³/atom
density of states at the Fermi level = 0.31 states/eV per atom